Record 1
# SrSmTe2AuS

SrSmTe2AuS after structural relaxation (PBE, OQMD).

Cell and atoms, written as POSCAR:
```
SrSmTe2AuS
1.0
2.172 -7.321 0.000
2.172 7.321 0.000
0.000 0.000 10.725
Au Te Sm Sr S
2 4 2 2 2
Cartesian
2.172 -0.309 8.044
2.172 0.309 2.681
2.172 2.209 0.652
2.172 2.209 4.710
2.172 -2.209 10.073
2.172 -2.209 6.015
0.000 0.000 5.363
0.000 0.000 0.000
2.172 3.297 8.044
2.172 -3.297 2.681
2.172 -6.185 8.044
2.172 6.185 2.681
```

---

Record 2
# PdC2

PdC2 after structural relaxation (PBE, OQMD).

Cell and atoms, written as POSCAR:
```
PdC2
1.0
0.000 2.505 2.505
2.505 0.000 2.505
2.505 2.505 0.000
C Pd
2 1
Cartesian
3.758 3.758 3.758
1.253 1.253 1.253
0.000 0.000 0.000
```

Values from the calculation:
Excess energy over the best structure of this formula in the dataset = 0.000 eV per atom

---

Record 3
# BeAgSO

BeAgSO after structural relaxation (PBE, OQMD).

Cell and atoms, written as POSCAR:
```
BeAgSO
1.0
6.932 0.000 0.000
0.000 6.668 0.000
0.000 0.000 5.388
Be S O Ag
4 4 4 4
Cartesian
1.734 6.553 3.023
5.198 0.116 0.329
5.200 0.116 3.023
1.732 6.553 0.329
1.732 2.096 0.341
5.200 4.573 3.035
5.198 4.573 0.341
1.734 2.096 3.035
2.011 5.997 4.371
1.455 5.997 1.677
4.921 0.671 1.677
5.477 0.671 4.371
6.520 2.753 4.389
0.412 3.915 1.695
3.878 2.753 1.695
3.054 3.915 4.389
```

Values from the calculation:
Excess energy over the best structure of this formula in the dataset = 0.225 eV per atom

---

Record 4
# LiSmGe

LiSmGe after structural relaxation (PBE, OQMD).

Cell and atoms, written as POSCAR:
```
LiSmGe
1.0
-1.420 2.282 3.559
-2.684 -0.539 -3.521
-2.609 -6.207 2.939
Li Ge Sm
2 2 2
Cartesian
-2.325 0.255 -1.091
-3.208 -1.908 2.738
-4.391 -4.723 4.071
-3.508 -2.560 0.242
-0.650 -1.547 0.732
-1.954 -4.650 2.202
```

---

Record 5
# Er2LuAl7Ag2

Er2LuAl7Ag2 after structural relaxation (PBE, OQMD).

Cell and atoms, written as POSCAR:
```
Er2LuAl7Ag2
1.0
2.755 1.590 8.727
-2.755 1.590 8.727
0.000 -3.181 8.727
Al Ag Er Lu
7 2 2 1
Cartesian
0.000 1.629 10.930
0.000 0.000 13.090
-1.411 -0.814 10.930
0.000 -1.629 15.250
1.411 0.814 15.250
-1.411 0.814 15.250
1.411 -0.814 10.930
0.000 0.000 17.391
0.000 0.000 8.790
0.000 0.000 3.731
0.000 0.000 22.449
0.000 0.000 0.000
```

---

Record 6
# LaCdO3

LaCdO3 after structural relaxation (PBE, OQMD).

Cell and atoms, written as POSCAR:
```
LaCdO3
1.0
5.723 0.000 0.000
0.000 6.093 0.000
0.000 0.000 8.229
La O Cd
4 12 4
Cartesian
2.980 3.470 2.057
0.118 5.669 6.172
2.744 2.623 6.172
5.605 0.424 2.057
3.962 1.894 0.525
2.132 5.768 2.057
1.101 1.153 4.639
0.730 2.721 2.057
3.962 1.894 3.590
4.993 3.372 6.172
1.101 1.153 7.704
4.622 4.941 0.525
1.761 4.199 4.639
4.622 4.941 3.590
1.761 4.199 7.704
3.591 0.325 6.172
0.000 3.047 0.000
2.862 0.000 0.000
0.000 3.047 4.115
2.862 0.000 4.115
```

---

Record 7
# Ni3I

Ni3I after structural relaxation (PBE, OQMD).

Cell and atoms, written as POSCAR:
```
Ni3I
1.0
3.796 0.000 0.000
0.000 3.796 0.000
0.000 0.000 3.796
I Ni
1 3
Cartesian
0.000 0.000 0.000
1.898 1.898 0.000
0.000 1.898 1.898
1.898 0.000 1.898
```

Values from the calculation:
Excess energy over the best structure of this formula in the dataset = 0.047 eV per atom

---

Record 8
# CsHoPdSe3

CsHoPdSe3 after structural relaxation (PBE, OQMD).

Cell and atoms, written as POSCAR:
```
CsHoPdSe3
1.0
9.576 0.000 0.000
0.000 4.191 0.000
-3.916 0.000 9.413
Se Cs Ho Pd
6 2 2 2
Cartesian
-3.081 3.143 7.905
1.098 3.143 4.239
4.561 1.048 5.174
2.570 3.143 8.101
8.741 1.048 1.508
3.090 1.048 1.311
5.916 3.143 2.322
-0.256 1.048 7.091
1.150 3.143 1.288
4.510 1.048 8.125
3.264 3.143 5.580
2.395 1.048 3.833
```

Values from the calculation:
Excess energy over the best structure of this formula in the dataset = 0.000 eV per atom

---

| no. | raw total energy (eV/atom) |
| --- | --- |
| 1 | -4.65 |
| 2 | -5.56 |
| 3 | -4.86 |
| 4 | -4.43 |
| 5 | -4.21 |
| 6 | -6.12 |
| 7 | -4.04 |
| 8 | -4.68 |